[1]
Entry from Alexandria via LeMat-Bulk: a PBEsol-optimized structure of BaHS2Cl (SCAN).

Lattice parameters (Å, degrees): 4.1132 4.1132 5.6731 90.00 90.00 90.00
Element x y z (fractional)
Ba  0.0000  0.0000  0.0000
H  0.5000  0.5000  0.5000
S  0.0000  0.5000  0.5000
S  0.5000  0.0000  0.5000
Cl  0.5000  0.5000  0.0000

Properties
The calculation puts the volume at 96 Å³ per cell. As for the distance to the lowest polymorph of the same formula: 0 meV per atom. The calculation puts the calculated density at 4.1 g cm⁻³.

[2]
Entry from Alexandria via LeMat-Bulk: a PBEsol-optimized structure of BaHS2Cl (SCAN).

Lattice parameters (Å, degrees): 6.3296 6.3296 5.9064 90.00 90.00 90.00
Element x y z (fractional)
Ba  0.0000  0.0000  0.0000
H  0.5000  0.5000  0.5000
S  0.0000  0.5000  0.0000
S  0.5000  0.0000  0.0000
Cl  0.0000  0.0000  0.5000

Properties
The calculation puts the volume at 237 Å³ per cell. As for the distance to the lowest polymorph of the same formula: 841 meV per atom. The calculation puts the calculated density at 1.7 g cm⁻³.

[3]
Entry from Alexandria via LeMat-Bulk: a PBEsol-optimized structure of Ba2SrHCl (SCAN).

Lattice parameters (Å, degrees): 7.0814 7.0814 4.2708 90.00 90.00 90.00
Element x y z (fractional)
Ba  0.0000  0.5000  0.0000
Ba  0.5000  0.0000  0.0000
Sr  0.0000  0.0000  0.0000
H  0.0000  0.0000  0.5000
Cl  0.5000  0.5000  0.5000

Properties
The calculation puts the volume at 214 Å³ per cell. The value obtained for the final energy is -22.741 eV/atom. The calculation puts the calculated density at 3.1 g cm⁻³.

[4]
Entry from Alexandria via LeMat-Bulk: a PBEsol-optimized structure of BaHf2Cl (SCAN).

Lattice parameters (Å, degrees): 7.2671 7.2671 7.2671 90.00 90.00 90.00
Element x y z (fractional)
Ba  0.0000  0.0000  0.0000
Ba  0.0000  0.5000  0.5000
Ba  0.5000  0.0000  0.5000
Ba  0.5000  0.5000  0.0000
Hf  0.2500  0.2500  0.2500
Hf  0.2500  0.2500  0.7500
Hf  0.2500  0.7500  0.2500
Hf  0.2500  0.7500  0.7500
Hf  0.7500  0.2500  0.2500
Hf  0.7500  0.2500  0.7500
Hf  0.7500  0.7500  0.2500
Hf  0.7500  0.7500  0.7500
Cl  0.0000  0.0000  0.5000
Cl  0.0000  0.5000  0.0000
Cl  0.5000  0.0000  0.0000
Cl  0.5000  0.5000  0.5000

Properties
The calculation puts the volume at 384 Å³ per cell. The value obtained for the final energy is -42.209 eV/atom. The calculation puts the calculated density at 9.2 g cm⁻³.

[5]
Entry from Alexandria via LeMat-Bulk: a PBEsol-optimized structure of BaHfCl3 (SCAN).

Lattice parameters (Å, degrees): 5.8514 5.8514 5.8514 90.00 90.00 90.00
Element x y z (fractional)
Ba  0.0000  0.0000  0.0000
Hf  0.5000  0.5000  0.5000
Cl  0.0000  0.0000  0.5000
Cl  0.0000  0.5000  0.0000
Cl  0.5000  0.0000  0.0000

Properties
The calculation puts the volume at 200 Å³ per cell. The value obtained for the final energy is -26.016 eV/atom. The calculation puts the calculated density at 3.5 g cm⁻³.

[6]
Entry from Alexandria via LeMat-Bulk: a PBEsol-optimized structure of BaHfHgCl2 (SCAN).

Lattice parameters (Å, degrees): 5.6846 5.6846 6.6200 90.00 90.00 90.00
Element x y z (fractional)
Ba  0.0000  0.0000  0.0000
Hf  0.5000  0.5000  0.5000
Hg  0.0000  0.0000  0.5000
Cl  0.0000  0.5000  0.0000
Cl  0.5000  0.0000  0.0000

Properties
The calculation puts the volume at 214 Å³ per cell. The value obtained for the final energy is -37.485 eV/atom. The calculation puts the calculated density at 4.6 g cm⁻³.